Material: Hf31PtO64
Method: DFT, GGA-PBE
State: relaxed

Structure (POSCAR):
```
Hf31PtO64
1.0
-9.4413 -0.2418 -3.3506
1.1366 -9.6485 -2.6996
-3.3010 -3.0666 9.4425
Hf O Pt
31 64 1
Cartesian
-0.3016 -1.5238 0.5997
-4.5061 -6.5139 -2.4279
0.2634 -6.3365 -0.6881
-4.9713 -1.6851 -0.9871
-6.4804 -9.0833 -3.5414
-7.0321 -4.2137 -2.1579
-1.7496 -8.8990 -1.8195
-3.2981 -2.3367 2.2146
-8.0397 -2.4628 0.5552
-7.4793 -7.3166 -0.7976
-2.7847 -7.2405 0.9286
-0.3751 -9.6390 1.3017
-5.1049 -9.7763 -0.3802
-0.9306 -4.8106 2.6766
-5.7212 -4.9522 0.9745
-1.9408 -3.0574 5.3741
-6.6689 -3.1849 3.7048
-6.1177 -8.0240 2.3577
-1.3897 -7.8989 4.0524
-3.9725 -5.6325 4.2163
-8.1279 -10.5874 1.2131
-3.4019 -10.4636 2.8927
-8.6834 -5.7400 2.5903
-4.9466 -3.8758 6.9525
-9.1356 -8.8255 3.9276
-4.4275 -8.6984 5.6236
-9.6749 -4.0134 5.3092
-2.5876 -6.3171 7.3638
-6.7356 -11.3159 4.3505
-2.0377 -11.1470 6.0364
-7.2691 -6.4891 5.7323
-0.2726 -9.6397 -3.1040
-5.5826 -5.0124 -3.4606
-6.0878 -0.2018 -2.0702
-0.8877 -4.8041 -1.6663
-8.3773 -3.3058 -3.3187
-3.1686 -8.0770 -3.0082
-7.8835 -8.1394 -4.6611
-3.6610 -3.2806 -1.5722
-3.1750 -6.1934 -0.9206
-8.4909 -1.3253 -1.1663
-3.7720 -1.1583 0.5343
-7.9552 -6.1208 -2.4887
-1.5524 -3.1436 1.1165
-5.6713 -8.1417 -1.7914
-6.2328 -3.3094 -0.4078
-0.9325 -7.9937 -0.0635
-1.8177 -0.8136 2.0810
-5.9855 -5.7793 -0.9488
-6.5577 -0.9484 0.4077
-1.3129 -5.6620 0.7600
-8.6208 -4.0634 -0.7365
-8.0276 -8.9260 -2.0736
-3.3135 -8.8156 -0.3765
-3.9057 -4.0196 0.9865
-5.2664 -2.0027 2.6154
-9.4396 -6.9343 -0.3987
-9.9860 -2.0951 0.9682
-4.7162 -6.8095 1.2899
-2.6719 -3.9311 3.4350
-6.8644 -8.8977 0.4540
-7.4564 -4.0719 1.8106
-2.1509 -8.7903 2.1492
-1.9136 -11.2321 1.5947
-6.6274 -11.3529 -0.0635
-7.2180 -6.5356 1.2785
-2.4847 -6.4275 2.9796
-5.3791 -4.7468 3.0625
-10.0781 -4.8761 1.3943
-9.5263 -9.6902 0.0508
-4.8049 -9.5782 1.7244
-5.4233 -2.7085 5.2224
-10.1317 -2.8543 3.5667
-4.8732 -7.5541 3.8877
-9.5953 -7.6472 2.2273
-3.1332 -4.6863 5.8770
-7.3154 -9.6511 2.9497
-7.8539 -4.8254 4.3176
-2.6018 -9.5233 4.6348
-2.3349 -11.9844 4.1068
-7.0818 -12.1153 2.4342
-7.6490 -7.2857 3.7906
-2.9572 -7.1782 5.4772
-9.6934 -10.4185 2.6358
-10.2421 -5.5914 4.0074
-5.5094 -5.5096 5.6816
-4.9615 -10.3263 4.3342
-6.9078 -3.5420 7.3552
-6.3831 -8.3742 5.9946
-11.1082 -8.4760 4.3255
-11.6042 -3.5608 5.7316
-4.1298 -5.2835 8.1289
-8.5225 -10.4477 5.1506
-9.0059 -5.6236 6.5559
-3.8088 -10.2579 6.8777
-2.4415 -4.3970 -0.3489
```

Computed properties:
Energy above the most stable polymorph in this dataset ... 258.0 kJ/mol of formula units
Electronic total energy ... -959.8 eV per cell
Symmetry ... No. 1
Size of the total moment ... 0.015 μB/f.u.

---

Material: Hf31PtO64
Method: DFT, GGA-PBE
State: relaxed

Structure (POSCAR):
```
Hf31PtO64
1.0
10.2002 0.0000 0.0000
0.0551 10.2968 0.0000
1.7232 -0.0082 10.4267
Hf O Pt
31 64 1
Cartesian
7.6954 1.0537 1.0846
2.6340 6.2192 1.0899
2.6189 1.0956 1.0941
0.3478 3.6906 1.4938
5.5479 8.7565 1.5393
0.4714 8.8319 1.5408
5.5329 3.6656 1.5677
3.0254 4.0610 3.6775
8.1777 9.1901 3.6868
3.0863 9.2179 3.6937
8.1019 4.1167 3.7008
0.7901 1.5250 4.1033
5.9210 1.4859 4.1227
5.9479 6.5902 4.1253
0.8458 6.6431 4.1262
8.5467 1.0746 6.2810
3.4581 1.0703 6.2858
3.4885 6.2104 6.2867
8.6048 6.2240 6.3199
1.3082 8.7988 6.7194
6.3912 8.7816 6.7201
1.2602 3.6393 6.7255
6.3670 3.6367 6.7412
9.0538 9.2464 8.8737
3.9107 4.0669 8.9017
3.9525 9.2417 8.9035
8.9995 4.0415 8.9218
1.7860 6.6750 9.3080
1.6930 1.5004 9.3410
6.8093 6.6420 9.3489
6.7865 1.4953 9.3543
1.0661 5.1333 0.0946
6.1808 10.2412 0.1015
1.0911 10.2811 0.1130
6.1974 5.1755 0.1895
4.3459 7.3178 0.7824
9.3893 2.1789 0.7827
9.5476 7.3180 0.7969
4.3175 2.1744 0.7971
8.8094 4.8247 1.7823
8.9297 9.8680 1.7978
3.7908 4.7330 1.8103
3.8381 9.8829 1.8132
7.0930 7.5348 2.4620
1.9230 2.5544 2.4770
2.0230 7.6861 2.4991
7.0640 2.4799 2.5062
1.4594 5.1914 2.7026
6.6108 10.2746 2.7170
1.4616 0.0476 2.7200
6.4139 4.9913 2.9331
9.8060 3.0096 3.3482
4.6786 2.9039 3.3864
9.9010 8.1468 3.4055
4.7999 8.1188 3.4067
9.2911 0.4078 4.3924
4.1947 5.5516 4.4211
9.3347 5.5619 4.4308
4.2225 0.3790 4.4311
2.3775 2.5997 5.0901
7.5215 7.7532 5.0923
2.4274 7.7570 5.1033
7.4787 2.6180 5.1034
1.9332 10.2641 5.3133
7.0436 10.2517 5.3206
1.8909 5.1016 5.3231
7.0399 5.1280 5.4021
10.2447 2.1899 5.9755
5.1698 2.1636 6.0042
10.3078 7.3229 6.0098
5.2003 7.2968 6.0200
9.8045 9.9020 7.0086
4.6945 9.8881 7.0243
4.6632 4.7288 7.0244
9.7716 4.7476 7.0576
2.8317 2.5383 7.7025
2.8810 7.6912 7.7065
7.9608 7.6842 7.7133
7.9425 2.5333 7.7175
7.4168 0.0408 7.9165
2.3439 5.1864 7.9213
2.3169 0.0372 7.9257
7.4475 5.1654 7.9860
10.7040 2.9629 8.5982
10.7472 8.1209 8.6080
5.6107 2.9730 8.6165
5.6525 8.1386 8.6205
10.2671 5.5102 9.6045
10.1764 0.4104 9.6203
5.1114 5.5488 9.6247
5.0727 0.4200 9.6302
8.4541 7.7732 10.3083
3.3116 7.7733 10.3107
3.2430 2.6241 10.3136
8.3504 2.6165 10.3274
7.8271 6.3430 0.8442
```

Computed properties:
Energy above the most stable polymorph in this dataset ... 0.0 kJ/mol of formula units
Electronic total energy ... -962.5 eV per cell
Symmetry ... No. 1
Size of the total moment ... 0.002 μB/f.u.

---

Material: RbHfO3
Method: DFT, GGA-PBE
State: relaxed

Structure (POSCAR):
```
RbHfO3
1.0
-2.9117 5.0431 0.0000
2.9117 5.0431 0.0000
0.0000 3.3621 -5.9438
Hf O Rb
2 6 2
Cartesian
0.0000 10.0863 -2.9068
0.0000 3.3621 -3.0371
-1.2830 8.8880 -1.8255
2.5154 6.7534 -1.8255
-1.2324 4.5312 -1.8255
1.2324 8.9172 -4.1183
-2.5154 6.6950 -4.1183
1.2830 4.5604 -4.1183
0.0000 6.7242 -0.6581
0.0000 6.7242 -5.2857
```

Computed properties:
Electronic total energy ... -76.0 eV per cell
Symmetry ... No. 148
Size of the total moment ... 1.000 μB/f.u.

---

Material: Rb2Hf2O5
Method: DFT, GGA-PBE
State: relaxed

Structure (POSCAR):
```
Rb2Hf2O5
1.0
-3.1962 12.7226 -0.4541
-2.4616 -0.6957 -2.1640
-2.1216 -0.4418 2.5554
Hf O Rb
2 5 2
Cartesian
0.0000 0.0000 0.0000
-1.5981 6.3613 -0.2271
-1.5513 0.9280 -1.1275
-4.1065 11.0989 -1.4905
-1.3813 1.0550 1.2321
-3.9365 11.2259 0.8691
-3.8897 5.7926 -0.0313
-3.1010 2.6533 0.0807
-4.6783 8.9318 -0.1434
```

Computed properties:
Electronic total energy ... -59.4 eV per cell
Symmetry ... No. 123
Size of the total moment ... 1.226 μB/f.u.

---

Material: RbHfO3
Method: DFT, GGA-PBE
State: relaxed

Structure (POSCAR):
```
RbHfO3
1.0
3.2966 0.0000 0.0000
0.0000 3.2966 0.0000
0.0000 0.0000 7.0031
Hf O Rb
1 3 1
Cartesian
0.0000 0.0000 4.5191
1.6483 1.6483 3.5122
1.6483 0.0000 5.7249
0.0000 1.6483 5.7249
1.6483 1.6483 0.8276
```

Computed properties:
Electronic total energy ... -35.4 eV per cell
Symmetry ... No. 99
Size of the total moment ... 0.611 μB/f.u.

---

Material: RbHfO3
Method: DFT, GGA-PBE
State: relaxed

Structure (POSCAR):
```
RbHfO3
1.0
2.3554 0.9194 -5.3444
5.7859 -0.8622 -0.8583
1.8472 -4.5908 -3.2356
Hf O Rb
2 6 2
Cartesian
0.0000 0.0000 0.0000
4.9942 -2.2668 -4.7191
5.3916 -1.5479 -2.7951
6.5574 -1.0994 -5.4745
3.6629 -0.6850 -5.0390
6.3255 -3.8486 -4.3993
3.4310 -3.4342 -3.9638
4.5969 -2.9857 -6.6432
2.4971 -1.1334 -2.3596
7.4913 -3.4002 -7.0787
```

Computed properties:
Electronic total energy ... -76.2 eV per cell
Symmetry ... No. 167
Size of the total moment ... 0.999 μB/f.u.

---

Material: Rb2HfO4
Method: DFT, GGA-PBE
State: relaxed

Structure (POSCAR):
```
Rb2HfO4
1.0
-4.6585 4.1716 -4.0047
7.0181 -0.9212 -2.2448
-4.7786 -5.6738 -0.3397
Hf O Rb
2 8 4
Cartesian
0.0000 0.0000 0.0000
-1.1795 1.2496 -4.2109
-0.5338 -1.5811 -1.0239
0.3183 -0.0081 -4.2995
-2.7031 0.3884 -3.3334
2.9711 -2.3841 -2.0189
-1.9110 -2.9613 -4.7765
-3.2549 -4.8125 -1.2171
0.7417 -5.3373 -2.4959
-5.4243 -2.8430 -3.5266
2.9193 0.1642 -3.2279
0.5300 -2.6727 -3.3977
-2.9790 -2.2121 -2.2753
-5.3083 -0.1263 -4.2776
```

Computed properties:
Electronic total energy ... -87.7 eV per cell
Symmetry ... No. 141
Size of the total moment ... 2.000 μB/f.u.

---

Material: Rb2Hf2O5
Method: DFT, GGA-PBE
State: relaxed

Structure (POSCAR):
```
Rb2Hf2O5
1.0
-4.7947 -7.1768 2.4960
3.2719 -2.3345 -0.4272
0.9898 0.6810 3.8593
Hf O Rb
2 5 2
Cartesian
0.7988 -2.8206 2.4095
-1.3318 -6.0097 3.5187
0.5179 -2.8407 0.3684
-2.0407 -6.6706 1.7004
-0.6231 -1.3330 2.5117
-3.1818 -5.1629 3.8437
-0.2665 -4.4152 2.9641
0.0000 0.0000 0.0000
-2.3974 -3.5884 1.2480
```

Computed properties:
Electronic total energy ... -71.4 eV per cell
Symmetry ... No. 123
Size of the total moment ... 0.004 μB/f.u.

---

Material: RbHfO3
Method: DFT, GGA-PBE
State: relaxed

Structure (POSCAR):
```
RbHfO3
1.0
5.9133 0.0000 0.0000
0.0000 5.9205 0.0000
0.0000 0.0000 8.3692
Hf O Rb
4 12 4
Cartesian
2.9566 0.0000 0.0000
0.0000 2.9602 0.0000
2.9566 0.0000 4.1846
0.0000 2.9602 4.1846
1.4759 1.4773 0.0064
1.4807 4.4375 0.0064
2.9642 0.0000 2.0923
5.9057 2.9597 2.0923
1.4759 1.4773 4.1782
1.4807 4.4375 4.1782
4.4326 1.4829 4.1910
4.4373 4.4432 4.1910
2.9491 0.0000 6.2769
0.0076 2.9608 6.2769
4.4326 1.4829 8.3628
4.4373 4.4432 8.3628
2.9539 2.9595 2.0923
0.0028 5.9198 2.0923
5.9105 0.0007 6.2769
2.9594 2.9610 6.2769
```

Computed properties:
Electronic total energy ... -152.5 eV per cell
Symmetry ... No. 74
Size of the total moment ... 1.003 μB/f.u.

---

Material: RbHfO3
Method: DFT, GGA-PBE
State: relaxed

Structure (POSCAR):
```
RbHfO3
1.0
-0.1796 5.4330 -3.3542
3.3223 0.2311 -5.4506
-3.2854 -0.0041 -5.4778
Hf O Rb
2 6 2
Cartesian
-0.0357 1.4150 -3.5706
-0.1070 4.2450 -10.7119
1.2684 4.1811 -5.2420
2.2744 3.1498 -8.4153
0.9703 0.3836 -6.7439
-1.1130 5.2764 -7.5387
-2.4171 2.5103 -5.8673
-1.4111 1.4789 -9.0406
0.0000 0.0000 0.0000
-0.0714 2.8300 -7.1413
```

Computed properties:
Electronic total energy ... -68.2 eV per cell
Symmetry ... No. 167
Size of the total moment ... 1.000 μB/f.u.

---

Material: RbHfO3
Method: DFT, GGA-PBE
State: relaxed

Structure (POSCAR):
```
RbHfO3
1.0
4.1615 0.0000 0.0000
0.0000 4.1615 0.0000
0.0000 0.0000 4.1798
Hf O Rb
1 3 1
Cartesian
2.0807 2.0807 3.2629
2.0807 2.0807 1.1700
2.0807 0.0000 3.2528
0.0000 2.0807 3.2528
0.0000 0.0000 1.1828
```

Computed properties:
Electronic total energy ... -38.1 eV per cell
Symmetry ... No. 99
Size of the total moment ... 1.006 μB/f.u.

---

Material: HfReO4
Method: DFT, GGA-PBE
State: relaxed

Structure (POSCAR):
```
HfReO4
1.0
1.9628 5.0926 2.7230
-4.5375 4.0569 0.3929
0.3830 -5.8870 1.5483
Hf O Re
2 8 2
Cartesian
-1.2874 4.5747 1.5579
-2.7209 1.3723 1.7496
0.6837 3.6816 1.7840
-3.2662 5.4402 1.3837
-0.7421 0.5068 1.9237
-0.1545 -1.7915 1.1306
-1.3953 2.7730 2.7568
-2.0951 5.0494 3.5216
0.4326 0.1031 4.0572
-2.2299 -2.7131 2.0990
0.0000 0.0000 0.0000
0.5292 1.8901 2.9146
```

Computed properties:
Electronic total energy ... -110.2 eV per cell
Symmetry ... No. 88
Size of the total moment ... 0.998 μB/f.u.

---

Material: HfRe2O4
Method: DFT, GGA-PBE
State: relaxed

Structure (POSCAR):
```
HfRe2O4
1.0
4.4004 -4.4023 0.0000
-4.4004 0.0000 -4.4023
4.4004 4.4023 0.0000
Hf O Re
2 8 4
Cartesian
0.0000 0.0000 0.0000
2.2002 -2.2011 -2.2011
-1.0614 1.0607 -3.3416
3.3390 -1.0607 -1.0607
1.0614 -1.0607 -3.3416
1.1388 1.1405 -1.1405
5.4618 1.0607 -1.0607
1.1388 3.2618 -3.2618
3.2616 3.2618 -1.1405
3.2616 1.1405 -3.2618
-1.1001 -1.1006 -3.3017
5.5005 -1.1006 -1.1006
1.1001 1.1006 -3.3017
3.3003 1.1006 -1.1006
```

Computed properties:
Electronic total energy ... -122.3 eV per cell
Symmetry ... No. 227
Size of the total moment ... 0.092 μB/f.u.